Computed, not measured: a relaxed ZrGa2Ru2 crystal at the GGA-PBEsol level of DFT.

Density of states at the Fermi level: 2.92 states/eV/f.u.
Mass density: 9.547 g cm⁻³
Energy of formation from the pure elements: -0.4273 eV/atom
Raw total energy: -7.650 eV per atom

abc: 7.1589 7.1589 2.9378
angles: 90.00 90.00 90.00
Space group P4/mbm (No. 127)
Unique sites:
Zr 0.0000 0.0000 0.0000 x2
Ga 0.1259 0.3741 0.0000 x4
Ru 0.1716 0.6716 0.5000 x4

---

Computed, not measured: a relaxed GaS crystal at the GGA-PBEsol level of DFT.

Density of states at the Fermi level: 0.00 states/eV/f.u.
Mass density: 3.888 g cm⁻³
Uncorrected formation energy: -0.661 eV/atom
Raw total energy: -4.522 eV per atom

abc: 3.5641 3.5641 15.8062
angles: 90.00 90.00 120.00
Space group P6_3/mmc (No. 194)
Unique sites:
Ga 0.0000 0.0000 0.1730 x4
S 0.3333 0.6667 0.1042 x4

---

Computed, not measured: a relaxed Ga2S3 crystal at the GGA-PBEsol level of DFT.

Density of states at the Fermi level: 0.00 states/eV/f.u.
Mass density: 3.717 g cm⁻³
Uncorrected formation energy: -0.683 eV/atom
Raw total energy: -4.649 eV per atom

abc: 6.3415 11.1078 6.3173
angles: 90.00 108.87 90.00
Space group Cc (No. 9)
Unique sites:
Ga 0.0000 0.0842 0.0000 x4
Ga 0.0311 0.2537 0.5033 x4
S 0.1334 0.4167 0.3618 x4
S 0.1446 0.2564 0.8900 x4
S 0.1621 0.0795 0.3857 x4

---

Computed, not measured: a relaxed Ga2S3 crystal at the GGA-PBEsol level of DFT.

Density of states at the Fermi level: 0.00 states/eV/f.u.
Mass density: 3.701 g cm⁻³
Uncorrected formation energy: -0.678 eV/atom
Raw total energy: -4.644 eV per atom

abc: 3.6427 10.9990 5.2769
angles: 90.00 90.00 90.00
Space group Imm2 (No. 44)
Unique sites:
Ga 0.0000 0.1592 0.0000 x4
S 0.0000 0.0000 0.2534 x2
S 0.0000 0.3387 0.2275 x4

---

Computed, not measured: a relaxed GaS crystal at the GGA-PBEsol level of DFT.

Density of states at the Fermi level: 0.00 states/eV/f.u.
Mass density: 3.887 g cm⁻³
Uncorrected formation energy: -0.661 eV/atom
Raw total energy: -4.523 eV per atom

abc: 3.5633 3.5633 15.8175
angles: 90.00 90.00 120.00
Space group P6_3/mmc (No. 194)
Unique sites:
Ga 0.3333 0.6667 0.1731 x4
S 0.3333 0.6667 0.6043 x4

---

Computed, not measured: a relaxed GaS crystal at the GGA-PBEsol level of DFT.

Density of states at the Fermi level: 0.00 states/eV/f.u.
Mass density: 3.894 g cm⁻³
Uncorrected formation energy: -0.655 eV/atom
Raw total energy: -4.517 eV per atom

abc: 3.5739 3.5739 23.5468
angles: 90.00 90.00 120.00
Space group R-3m (No. 166, hexagonal axes)
Unique sites:
Ga 0.0000 0.0000 0.0516 x6
S 0.0000 0.0000 0.2358 x6

---

Computed, not measured: a relaxed Ga3SbS crystal at the GGA-PBEsol level of DFT.

Density of states at the Fermi level: 2.95 states/eV/f.u.
Mass density: 4.146 g cm⁻³
Uncorrected formation energy: 0.650 eV/atom
Raw total energy: -3.142 eV per atom

abc: 5.2580 5.2580 5.2580
angles: 90.00 90.00 90.00
Space group Pm-3m (No. 221)
Unique sites:
Ga 0.0000 0.0000 0.5000 x3
Sb 0.0000 0.0000 0.0000 x1
S 0.5000 0.5000 0.5000 x1

---

Computed, not measured: a relaxed Sm4GaSbS9 crystal at the GGA-PBEsol level of DFT.

Density of states at the Fermi level: 0.00 states/eV/f.u.
Mass density: 5.432 g cm⁻³
Uncorrected formation energy: -1.595 eV/atom
Raw total energy: -6.110 eV per atom

abc: 13.5399 13.8134 14.1409
angles: 90.00 90.00 90.00
Space group Aea2 (No. 41)
Unique sites:
Sm 0.1018 0.1744 0.0000 x8
Sm 0.1038 0.1100 0.5509 x8
Sm 0.1812 0.1664 0.2817 x8
Sm 0.1839 0.3914 0.5089 x8
Ga 0.0927 0.3952 0.7711 x8
Sb 0.1121 0.4163 0.2372 x8
S 0.0000 0.0000 0.3629 x4
S 0.0000 0.0000 0.9940 x4
S 0.0058 0.1977 0.1773 x8
S 0.0669 0.2526 0.4225 x8
S 0.0814 0.0928 0.7487 x8
S 0.1005 0.4069 0.0626 x8
S 0.1911 0.3031 0.8669 x8
S 0.1998 0.4884 0.6842 x8
S 0.2446 0.2351 0.6160 x8
S 0.2480 0.0578 0.9285 x8

---

Computed, not measured: a relaxed Tb4GaSbS9 crystal at the GGA-PBEsol level of DFT.

Density of states at the Fermi level: 0.00 states/eV/f.u.
Mass density: 5.823 g cm⁻³
Uncorrected formation energy: -1.604 eV/atom
Raw total energy: -6.097 eV per atom

abc: 13.3773 13.6401 13.9507
angles: 90.00 90.00 90.00
Space group Aea2 (No. 41)
Unique sites:
Tb 0.1014 0.1738 0.0000 x8
Tb 0.1034 0.1090 0.5482 x8
Tb 0.1834 0.1665 0.2810 x8
Tb 0.1849 0.3912 0.5081 x8
Ga 0.0915 0.3949 0.7716 x8
Sb 0.1129 0.4158 0.2381 x8
S 0.0000 0.0000 0.3666 x4
S 0.0000 0.0000 0.9923 x4
S 0.0102 0.1978 0.1779 x8
S 0.0672 0.2532 0.4225 x8
S 0.0822 0.0947 0.7460 x8
S 0.1003 0.4069 0.0614 x8
S 0.1914 0.3015 0.8677 x8
S 0.1981 0.4892 0.6824 x8
S 0.2434 0.2344 0.6145 x8
S 0.2472 0.0576 0.9277 x8

---

Computed, not measured: a relaxed ZrGaSbS2 crystal at the GGA-PBEsol level of DFT.

Density of states at the Fermi level: 3.92 states/eV/f.u.
Mass density: 5.208 g cm⁻³
Uncorrected formation energy: 0.325 eV/atom
Raw total energy: -4.826 eV per atom

abc: 4.5127 4.5127 5.4304
angles: 90.00 90.00 90.00
Space group P4/mmm (No. 123)
Unique sites:
Zr 0.0000 0.0000 0.0000 x1
Ga 0.0000 0.0000 0.5000 x1
Sb 0.5000 0.5000 0.0000 x1
S 0.0000 0.5000 0.5000 x2

---

Computed, not measured: a relaxed Sc2GaS crystal at the GGA-PBEsol level of DFT.

Density of states at the Fermi level: 2.96 states/eV/f.u.
Mass density: 4.480 g cm⁻³
Uncorrected formation energy: -0.760 eV/atom
Raw total energy: -5.994 eV per atom

abc: 6.5750 6.5750 6.5750
angles: 90.00 90.00 90.00
Space group Fm-3m (No. 225)
Unique sites:
Sc 0.2500 0.2500 0.2500 x8
Ga 0.0000 0.0000 0.0000 x4
S 0.0000 0.0000 0.5000 x4

---

Computed, not measured: a relaxed ScGa2TeS crystal at the GGA-PBEsol level of DFT.

Density of states at the Fermi level: 5.29 states/eV/f.u.
Mass density: 4.195 g cm⁻³
Uncorrected formation energy: 0.601 eV/atom
Raw total energy: -3.638 eV per atom

abc: 5.1528 5.1528 5.1300
angles: 90.00 90.00 90.00
Space group P4/mmm (No. 123)
Unique sites:
Sc 0.0000 0.0000 0.0000 x1
Ga 0.0000 0.5000 0.5000 x2
Te 0.5000 0.5000 0.5000 x1
S 0.5000 0.5000 0.0000 x1